Ta5W GGA-PBEsol relaxed; polymorph energy (0 for the lowest one) = 0.000 eV per atom; V = 17.27 Å³ per atom; formation energy = -0.03 eV per atom; Fermi-level density of states = 6.871 states/eV/f.u.; calculated density = 17.444 Mg/m³
1.0
3.2409 0.0000 0.0000
-1.6205 5.1614 -0.0026
0.0000 -2.0625 6.1958
W Ta
1 5
direct
0.5000 0.0000 0.5000 W
0.8383 0.6765 0.6639 Ta
0.1649 0.3298 0.8277 Ta
0.5000 0.0000 0.0000 Ta
0.8351 0.6702 0.1723 Ta
0.1617 0.3235 0.3361 Ta